A PBEsol-optimized structure of Li2PbBr. Source: Alexandria via LeMat-Bulk, functional SCAN.

Structure (CIF):
```
data_Li2PbBr
_chemical_formula_sum 'Li4 Pb2 Br2'
_space_group_name_H-M_alt 'I 4/m m m'
_space_group_IT_number 139
_space_group_name_Hall '-I 4 2'
_cell_length_a 4.545
_cell_length_b 4.545
_cell_length_c 8.818
_cell_angle_alpha 90.00
_cell_angle_beta 90.00
_cell_angle_gamma 90.00
loop_
_atom_site_label
_atom_site_type_symbol
_atom_site_fract_x
_atom_site_fract_y
_atom_site_fract_z
Li1 Li 0.000 0.500 0.250
Pb1 Pb 0.000 0.000 0.000
Br1 Br 0.000 0.000 0.500
```


A PBEsol-optimized structure of LiPbBr2. Source: Alexandria via LeMat-Bulk, functional SCAN.

Structure (CIF):
```
data_LiPbBr2
_chemical_formula_sum 'Li4 Pb4 Br8'
_space_group_name_H-M_alt 'F m -3 m'
_space_group_IT_number 225
_space_group_name_Hall '-F 4 2 3'
_cell_length_a 7.419
_cell_length_b 7.419
_cell_length_c 7.419
_cell_angle_alpha 90.00
_cell_angle_beta 90.00
_cell_angle_gamma 90.00
loop_
_atom_site_label
_atom_site_type_symbol
_atom_site_fract_x
_atom_site_fract_y
_atom_site_fract_z
Li1 Li 0.000 0.000 0.000
Pb1 Pb 0.000 0.000 0.500
Br1 Br 0.250 0.250 0.250
```


Per-record raw formation energy, eV/atom: -0.4152, -0.7007
Per-record calculated density, Mg/m³: 5.49, 6.08